## MgNi3H (PBE-GGA)

Data for crystalline MgNi3H at its relaxed geometry.

## Properties
- density of states at the Fermi level (states/eV per cell) = 9.961
- excess energy over the best structure of this formula in the dataset (eV/atom) = 0.259
- magnetization (μB/f.u.) = 0.000

Structure (POSCAR):
```
MgNi3H
1.0
-2.8991 -1.2222 3.6979
-3.3471 -1.5752 -3.1447
-1.2232 -5.6225 0.3701
H Ni Mg
2 6 2
Direct
0.0000 0.0000 0.0000
0.2500 0.7500 0.5000
0.6168 0.8609 0.2783
0.1391 0.8951 0.7217
0.6281 0.6281 0.7438
0.3719 0.3719 0.2562
0.1049 0.8609 0.2783
0.1391 0.3832 0.7217
0.9015 0.4015 0.1971
0.5985 0.0985 0.8029
```

## LaTe2Pb2 (PBE-GGA)

Data for crystalline LaTe2Pb2 at its relaxed geometry.

## Properties
- density of states at the Fermi level (states/eV per cell) = 8.441
- raw formation energy (meV/atom) = -589.2
- excess energy over the best structure of this formula in the dataset (eV/atom) = 0.000
- magnetization (μB/f.u.) = 0.000

Structure (POSCAR):
```
LaTe2Pb2
1.0
8.5927 0.0000 0.0000
0.0000 8.5927 0.0000
0.0000 0.0000 4.6215
Pb La Te
4 2 4
Direct
0.3326 0.1674 0.5000
0.8326 0.3326 0.5000
0.6674 0.8326 0.5000
0.1674 0.6674 0.5000
0.0000 0.0000 0.0000
0.5000 0.5000 0.0000
0.6594 0.1594 0.0000
0.3406 0.8406 0.0000
0.8406 0.6594 0.0000
0.1594 0.3406 0.0000
```